[1]
# ZrTiCuAu

A relaxed ZrTiCuAu crystal (GGA-PBE, Alexandria via LeMat-Bulk).

a b c (Å): 3.340 3.340 6.246
angles (deg): 90.00 90.00 90.00
Space group P4mm (No. 99)
Symmetry-distinct sites (fractional):
1 Zr 0.000 0.000 0.000 [1 per cell]
2 Ti 0.500 0.500 0.293 [1 per cell]
3 Cu 0.500 0.500 0.755 [1 per cell]
4 Au 0.000 0.000 0.523 [1 per cell]

## Properties
DOS(E_F), states/eV per atom: 0.695
Spin magnetization, μB/atom: 0.000
Uncorrected energy, eV/atom: -6.253
Formation energy from the elements, meV/atom: -298



[2]
# Dy14PuTh

A relaxed Dy14PuTh crystal (GGA-PBE, Alexandria via LeMat-Bulk).

a b c (Å): 11.307 7.179 12.467
angles (deg): 90.00 90.00 90.00
Space group Amm2 (No. 38)
Symmetry-distinct sites (fractional):
1 Dy 0.000 0.000 0.000 [2 per cell]
2 Dy 0.000 0.000 0.499 [2 per cell]
3 Dy 0.000 0.250 0.250 [4 per cell]
4 Dy 0.249 0.000 0.165 [4 per cell]
5 Dy 0.251 0.000 0.665 [4 per cell]
6 Dy 0.252 0.249 0.418 [8 per cell]
7 Dy 0.500 0.249 0.251 [4 per cell]
8 Pu 0.500 0.000 0.499 [2 per cell]
9 Th 0.500 0.000 0.999 [2 per cell]

## Properties
DOS(E_F), states/eV per atom: 1.891
Spin magnetization, μB/atom: 0.383
Uncorrected energy, eV/atom: -5.349
Formation energy from the elements, meV/atom: 37



[3]
# Tb2TmHf

A relaxed Tb2TmHf crystal (GGA-PBE, Alexandria via LeMat-Bulk).

a b c (Å): 3.983 3.983 7.196
angles (deg): 90.00 90.00 90.00
Space group P4/mmm (No. 123)
Symmetry-distinct sites (fractional):
1 Tb 0.000 0.000 0.226 [2 per cell]
2 Tm 0.500 0.500 0.500 [1 per cell]
3 Hf 0.500 0.500 0.000 [1 per cell]

## Properties
DOS(E_F), states/eV per atom: 1.561
Spin magnetization, μB/atom: 0.000
Uncorrected energy, eV/atom: -5.706
Formation energy from the elements, meV/atom: 215



[4]
# SnBiN

A relaxed SnBiN crystal (GGA-PBE, Alexandria via LeMat-Bulk).

a b c (Å): 3.515 3.581 10.957
angles (deg): 89.95 89.94 89.42
Space group P-1 (No. 2)
Symmetry-distinct sites (fractional):
1 Sn 0.249 0.250 0.107 [2 per cell]
2 Bi 0.250 0.250 0.631 [2 per cell]
3 N 0.251 0.750 0.764 [2 per cell]

## Properties
DOS(E_F), states/eV per atom: 0.236
Spin magnetization, μB/atom: 0.000
Uncorrected energy, eV/atom: -5.034
Formation energy (no corrections), kcal/mol of atoms: 8.52



Question: Number 3 is which compound?
Answer: Tb2TmHf



Question: Look up the spin magnetization of the first one.
Answer: 0.000 μB/atom